# LiGe3SbTe5

LiGe3SbTe5 after structural relaxation (PBE, Alexandria via LeMat-Bulk).

```
10
Lattice="2.1307 1.2301 17.9504 -2.1307 1.2301 17.9504 0.0000 -2.4603 17.9504" Properties=species:S:1:pos:R:3 pbc="T T T"
Li 0.0000 0.0000 0.0000
Ge 0.0000 0.0000 10.9773
Ge 0.0000 0.0000 32.4943
Ge 0.0000 0.0000 43.2617
Sb 0.0000 0.0000 21.4602
Te 0.0000 0.0000 5.3302
Te 0.0000 0.0000 16.0223
Te 0.0000 0.0000 26.8050
Te 0.0000 0.0000 37.5051
Te 0.0000 0.0000 48.3390
```

Properties
formation energy from raw total energies: -2.3 eV per formula unit

***

# MoHPd2

MoHPd2 after structural relaxation (PBE, Alexandria via LeMat-Bulk).

```
4
Lattice="1.4078 0.8128 7.0379 -1.4078 0.8128 7.0379 0.0000 -1.6255 7.0379" Properties=species:S:1:pos:R:3 pbc="T T T"
Mo 0.0000 0.0000 0.0000
H 0.0000 0.0000 10.5569
Pd 0.0000 0.0000 4.7735
Pd 0.0000 0.0000 16.3403
```

Properties
distance to the lowest polymorph of the same formula: 0 meV/atom

***

# Ba3CdHg4

Ba3CdHg4 after structural relaxation (PBE, Alexandria via LeMat-Bulk).

```
8
Lattice="2.8794 1.6624 9.5151 -2.8794 1.6624 9.5151 0.0000 -3.3249 9.5151" Properties=species:S:1:pos:R:3 pbc="T T T"
Ba 0.0000 0.0000 0.0000
Ba 0.0000 0.0000 6.9111
Ba 0.0000 0.0000 21.6341
Cd 0.0000 0.0000 14.2726
Hg 0.0000 0.0000 3.5226
Hg 0.0000 0.0000 10.6741
Hg 0.0000 0.0000 17.8711
Hg 0.0000 0.0000 25.0227
```

Properties
ΔE_f: -0.43 eV per atom

***

# LaNp2RuN4

LaNp2RuN4 after structural relaxation (PBE, Alexandria via LeMat-Bulk).

```
16
Lattice="1.7028 -5.8520 0.0000 1.7028 5.8520 0.0000 0.0000 0.0000 11.6573" Properties=species:S:1:pos:R:3 pbc="T T T"
La 1.7028 4.6501 8.7430
La 1.7028 -4.6501 2.9143
Np 1.7028 1.5225 6.4561
Np 1.7028 1.5225 11.0299
Np 1.7028 -1.5225 0.6274
Np 1.7028 -1.5225 5.2012
Ru 1.7028 4.0072 2.9143
Ru 1.7028 -4.0072 8.7430
N 0.0000 0.0000 0.0000
N 0.0000 0.0000 5.8287
N 1.7028 2.7431 1.2207
N 1.7028 2.7431 4.6080
N 1.7028 0.6341 8.7430
N 1.7028 -0.6341 2.9143
N 1.7028 -2.7431 7.0494
N 1.7028 -2.7431 10.4366
```

Properties
formation energy from raw total energies: -7.5 eV per formula unit

***

# CaTi2O4

CaTi2O4 after structural relaxation (PBE, Alexandria via LeMat-Bulk).

```
28
Lattice="5.9029 0.0000 0.0000 0.0000 11.3957 0.0000 0.0000 0.0000 5.1080" Properties=species:S:1:pos:R:3 pbc="T T T"
Ca 1.4757 2.8489 0.2126
Ca 1.4757 8.5468 1.7302
Ca 4.4271 2.8489 3.3778
Ca 4.4271 8.5468 4.8954
Ti 0.0000 0.0000 2.5540
Ti 0.0000 5.6979 2.5540
Ti 1.4757 5.8140 4.9789
Ti 1.4757 11.2796 4.9789
Ti 2.9514 0.0000 2.5540
Ti 2.9514 5.6979 2.5540
Ti 4.4271 0.1162 0.1291
Ti 4.4271 5.5817 0.1291
O 0.0210 1.2089 4.2841
O 0.0210 4.4889 4.2841
O 1.4757 1.0255 1.6628
O 1.4757 4.6723 1.6628
O 1.4757 6.9185 3.3396
O 1.4757 10.1751 3.3396
O 2.9305 1.2089 4.2841
O 2.9305 4.4889 4.2841
O 2.9724 6.9068 0.8239
O 2.9724 10.1868 0.8239
O 4.4271 1.2206 1.7685
O 4.4271 4.4772 1.7685
O 4.4271 6.7234 3.4452
O 4.4271 10.3702 3.4452
O 5.8819 6.9068 0.8239
O 5.8819 10.1868 0.8239
```

Properties
distance to the lowest polymorph of the same formula: 10 meV/atom
formation energy from raw total energies: -20.6 eV per formula unit

***

# AgRuSe

AgRuSe after structural relaxation (PBE, Alexandria via LeMat-Bulk).

```
3
Lattice="3.1324 0.0000 0.0000 -1.5662 2.7127 0.0000 0.0000 0.0000 6.6817" Properties=species:S:1:pos:R:3 pbc="T T T"
Ag 0.0000 0.0000 0.0000
Ru 1.5662 0.9042 2.2496
Se 0.0000 1.8085 3.8115
```

Properties
distance to the lowest polymorph of the same formula: 70 meV/atom
formation energy from raw total energies: 0.5 eV per formula unit

***

# TiTlBi

TiTlBi after structural relaxation (PBE, Alexandria via LeMat-Bulk).

```
18
Lattice="13.3032 0.0000 0.0000 0.0000 4.0044 0.0000 0.0000 0.0000 8.5147" Properties=species:S:1:pos:R:3 pbc="T T T"
Ti 1.2208 0.0000 0.7134
Ti 3.3258 2.0022 5.0648
Ti 5.4308 0.0000 0.7134
Ti 7.8724 0.0000 7.8013
Ti 9.9774 2.0022 3.4498
Ti 12.0825 0.0000 7.8013
Tl 1.5270 0.0000 3.7614
Tl 3.3258 0.0000 7.1854
Tl 5.1246 0.0000 3.7614
Tl 8.1786 0.0000 4.7533
Tl 9.9774 0.0000 1.3293
Tl 11.7762 0.0000 4.7533
Bi 0.7577 2.0022 6.8106
Bi 3.3258 2.0022 1.7152
Bi 5.8939 2.0022 6.8106
Bi 7.4094 2.0022 1.7041
Bi 9.9774 2.0022 6.7994
Bi 12.5455 2.0022 1.7041
```

Properties
ΔE_f: 0.11 eV per atom

***

# ScAlCl2

ScAlCl2 after structural relaxation (PBE, Alexandria via LeMat-Bulk).

```
4
Lattice="5.5713 -1.6571 0.0000 5.5713 1.6571 0.0000 -2.5131 0.0000 5.2186" Properties=species:S:1:pos:R:3 pbc="T T T"
Sc 0.0000 0.0000 0.0000
Al 6.8076 0.0000 2.4745
Cl 3.7941 0.0000 0.5853
Cl 4.4369 0.0000 3.9003
```

Properties
distance to the lowest polymorph of the same formula: 68 meV/atom
formation energy from raw total energies: -3.9 eV per formula unit

***

# Ba2Zn2Sn

Ba2Zn2Sn after structural relaxation (PBE, Alexandria via LeMat-Bulk).

```
10
Lattice="7.7871 0.0000 0.0000 0.0000 7.7871 0.0000 0.0000 0.0000 5.1775" Properties=species:S:1:pos:R:3 pbc="T T T"
Ba 1.4873 2.4062 0.0000
Ba 2.4062 6.2998 0.0000
Ba 5.3809 1.4873 0.0000
Ba 6.2998 5.3809 0.0000
Zn 0.8926 4.7862 2.5887
Zn 3.0010 0.8926 2.5887
Zn 4.7862 6.8946 2.5887
Zn 6.8946 3.0010 2.5887
Sn 0.0000 0.0000 2.5887
Sn 3.8936 3.8936 2.5887
```

Properties
ΔE_f: -0.31 eV per atom

***

# YLuI2

YLuI2 after structural relaxation (PBE, Alexandria via LeMat-Bulk).

```
4
Lattice="1.9171 1.1068 10.5756 -1.9171 1.1068 10.5756 0.0000 -2.2137 10.5756" Properties=species:S:1:pos:R:3 pbc="T T T"
Y 0.0000 0.0000 0.0000
Lu 0.0000 0.0000 15.8634
I 0.0000 0.0000 12.7914
I 0.0000 0.0000 18.9355
```

Properties
formation energy from raw total energies: -2.4 eV per formula unit

***

# BaRu2Se

BaRu2Se after structural relaxation (PBE, Alexandria via LeMat-Bulk).

```
4
Lattice="3.2626 0.0000 0.0000 0.0000 3.2626 0.0000 0.0000 0.0000 7.7473" Properties=species:S:1:pos:R:3 pbc="T T T"
Ba 0.0000 0.0000 0.0000
Ru 0.0000 0.0000 3.7826
Ru 1.6313 1.6313 2.3920
Se 1.6313 1.6313 5.1833
```

Properties
formation energy from raw total energies: 1.0 eV per formula unit